(1)
The following is a DFT calculation (PBE) of Li8Ge3 after structural relaxation.

The total moment comes out at 0.00 μB per formula unit. The calculation puts the relative energy among the computed polymorphs at 322.2 meV per atom. As for the formation energy: -0.034 eV/atom. For the total energy, the calculation gives -2.685 eV per atom.

It has space group R-3 (No. 148, hexagonal axes), with a = 7.6935 Å, b = 7.6935 Å, c = 12.4578 Å, α = 90.00°, β = 90.00° and γ = 120.00°. The inequivalent atoms are Li at (0.0000, 0.0000, 0.0942), Li at (0.0547, 0.5286, 0.2827) and Ge at (0.0000, 0.5000, 0.5000).


(2)
The following is a DFT calculation (PBE) of Li3Ge2 after structural relaxation.

The total moment comes out at 0.00 μB per formula unit. The calculation puts the relative energy among the computed polymorphs at 0.0 meV per atom. As for the formation energy: -0.281 eV/atom. For the total energy, the calculation gives -3.276 eV per atom.

It has space group Cmcm (No. 63), with a = 15.570 Å, b = 4.806 Å, c = 4.310 Å, α = 90.00°, β = 90.00° and γ = 90.00°. The inequivalent atoms are Li at (0.000, 0.212, 0.250), Li at (0.200, 0.166, 0.250) and Ge at (0.115, 0.334, 0.750).


(3)
The following is a DFT calculation (PBE) of LiGe2 after structural relaxation.

The total moment comes out at 0.00 μB per formula unit. The calculation puts the relative energy among the computed polymorphs at 68.0 meV per atom. As for the formation energy: -0.051 eV/atom. For the total energy, the calculation gives -3.767 eV per atom.

It has space group I4/mmm (No. 139), with a = 3.540 Å, b = 3.540 Å, c = 8.587 Å, α = 90.00°, β = 90.00° and γ = 90.00°. The inequivalent atoms are Li at (0.000, 0.000, 0.000) and Ge at (0.000, 0.000, 0.321).


(4)
The following is a DFT calculation (PBE) of LiGe2 after structural relaxation.

The total moment comes out at 0.00 μB per formula unit. The calculation puts the relative energy among the computed polymorphs at 151.5 meV per atom. As for the formation energy: 0.032 eV/atom. For the total energy, the calculation gives -3.684 eV per atom.

It has space group I4_1/amd (No. 141, origin choice 2), with a = 3.903 Å, b = 3.903 Å, c = 16.191 Å, α = 90.00°, β = 90.00° and γ = 90.00°. The inequivalent atoms are Li at (0.000, 0.250, 0.375) and Ge at (0.000, 0.250, 0.797).


(5)
The following is a DFT calculation (PBE) of Li3Ge2 after structural relaxation.

The total moment comes out at 0.00 μB per formula unit. The calculation puts the relative energy among the computed polymorphs at 67.3 meV per atom. As for the formation energy: -0.214 eV/atom. For the total energy, the calculation gives -3.209 eV per atom.

It has space group Fdd2 (No. 43), with a = 9.330 Å, b = 14.179 Å, c = 4.929 Å, α = 90.00°, β = 90.00° and γ = 90.00°. The inequivalent atoms are Li at (0.000, 0.000, 0.000), Li at (0.002, 0.400, 0.000) and Ge at (0.001, 0.293, 0.502).


(6)
The following is a DFT calculation (PBE) of Li17Ge2 after structural relaxation.

The total moment comes out at 0.00 μB per formula unit. As for the formation energy: -0.046 eV/atom. For the total energy, the calculation gives -2.244 eV per atom.

It has space group R-3m (No. 166, hexagonal axes), with a = 7.8696 Å, b = 7.8696 Å, c = 18.1570 Å, α = 90.00°, β = 90.00° and γ = 120.00°. The inequivalent atoms are Li at (0.0000, 0.0000, 0.0933), Li at (0.0000, 0.3148, 0.0000), Li at (0.0000, 0.5000, 0.5000), Li at (0.0881, 0.5440, 0.1053) and Ge at (0.0000, 0.0000, 0.2929).


(7)
The following is a DFT calculation (PBE) of LiGe2 after structural relaxation.

The total moment comes out at 0.00 μB per formula unit. The calculation puts the relative energy among the computed polymorphs at 175.4 meV per atom. As for the formation energy: 0.056 eV/atom. For the total energy, the calculation gives -3.660 eV per atom.

It has space group Fd-3m (No. 227, origin choice 2), with a = 7.825 Å, b = 7.825 Å, c = 7.825 Å, α = 90.00°, β = 90.00° and γ = 90.00°. The inequivalent atoms are Li at (0.125, 0.125, 0.125) and Ge at (0.000, 0.000, 0.500).


(8)
The following is a DFT calculation (PBE) of Li2Ge3 after structural relaxation.

The total moment comes out at 0.00 μB per formula unit. As for the formation energy: -0.042 eV/atom. For the total energy, the calculation gives -3.578 eV per atom.

It has space group Immm (No. 71), with a = 4.544 Å, b = 5.369 Å, c = 7.873 Å, α = 90.00°, β = 90.00° and γ = 90.00°. The inequivalent atoms are Li at (0.000, 0.000, 0.194), Ge at (0.000, 0.267, 0.500) and Ge at (0.000, 0.500, 0.000).